[1]
The following is a DFT calculation (PBE) of crystalline Ti3Ni2Pd at its relaxed geometry.

Structure (POSCAR):
```
Ti3Ni2Pd
1.0
-1.320 2.388 7.200
1.320 -2.388 7.200
1.320 2.388 -7.200
Ti Ni Pd
3 2 1
Cartesian
0.000 0.000 0.000 Ti
1.320 0.000 4.546 Ti
0.000 2.388 2.654 Ti
1.320 0.000 2.201 Ni
0.000 2.388 4.999 Ni
0.000 2.388 0.000 Pd
```

Summary:
* density of states at the Fermi level: 7.2 states/eV/cell
* relative energy among the computed polymorphs: 331 meV/atom
* size of the total moment: 0.00 μB/cell
* volume: 15.1 Å³/atom
* DFT formation energy: -0.069 eV/atom
* symmetry: Immm

***

[2]
The following is a DFT calculation (PBE) of crystalline Hf3ZnCl at its relaxed geometry.

Structure (POSCAR):
```
Hf3ZnCl
1.0
4.703 0.000 0.000
0.000 4.703 0.000
0.000 0.000 4.703
Hf Zn Cl
3 1 1
Cartesian
0.000 0.000 2.351 Hf
0.000 2.351 0.000 Hf
2.351 0.000 0.000 Hf
2.351 2.351 2.351 Zn
0.000 0.000 0.000 Cl
```

Summary:
* density of states at the Fermi level: 3.4 states/eV/cell
* relative energy among the computed polymorphs: 0 meV/atom
* size of the total moment: 0.00 μB/cell
* volume: 20.8 Å³/atom
* E_form (uncorrected): 6.09 kcal/mol of atoms
* symmetry: Pm-3m

***

[3]
The following is a DFT calculation (PBE) of crystalline Zr3FeBr at its relaxed geometry.

Structure (POSCAR):
```
Zr3FeBr
1.0
4.896 0.000 0.000
0.000 4.896 0.000
0.000 0.000 4.896
Zr Fe Br
3 1 1
Cartesian
0.000 0.000 2.448 Zr
0.000 2.448 0.000 Zr
2.448 0.000 0.000 Zr
0.000 0.000 0.000 Fe
2.448 2.448 2.448 Br
```

Summary:
* density of states at the Fermi level: 5.7 states/eV/cell
* relative energy among the computed polymorphs: 0 meV/atom
* size of the total moment: 0.00 μB/cell
* volume: 23.5 Å³/atom
* E_form (uncorrected): 5.81 kcal/mol of atoms
* symmetry: Pm-3m

***

[4]
The following is a DFT calculation (PBE) of crystalline NaAcPu2S4 at its relaxed geometry.

Structure (POSCAR):
```
NaAcPu2S4
1.0
7.083 0.000 0.000
0.000 4.096 0.000
-2.386 0.000 6.791
Na Ac Pu S
1 1 2 4
Cartesian
0.000 0.000 0.000 Na
3.541 2.048 0.000 Ac
-1.193 2.048 3.396 Pu
2.348 0.000 3.396 Pu
-0.062 0.000 4.964 S
1.178 2.048 1.828 S
3.519 2.048 4.963 S
4.759 0.000 1.828 S
```

Summary:
* density of states at the Fermi level: 23.9 states/eV/cell
* size of the total moment: 0.07 μB/cell
* volume: 24.6 Å³/atom
* E_form (uncorrected): -39.04 kcal/mol of atoms
* symmetry: P2/m

***

[5]
The following is a DFT calculation (PBE) of crystalline Tb4MgPd at its relaxed geometry.

Structure (POSCAR):
```
Tb4MgPd
1.0
4.493 -6.504 0.000
4.493 6.504 0.000
-1.804 0.000 5.823
Tb Mg Pd
8 2 2
Cartesian
1.808 4.228 5.533 Tb
1.449 1.184 3.588 Tb
4.471 4.228 3.201 Tb
2.351 -1.184 0.676 Tb
4.831 1.184 5.147 Tb
2.710 -4.228 2.622 Tb
5.733 -1.184 2.235 Tb
5.373 -4.228 0.290 Tb
4.042 1.521 1.456 Mg
3.140 -1.521 4.367 Mg
4.042 6.496 1.456 Pd
3.140 -6.496 4.367 Pd
```

Summary:
* density of states at the Fermi level: 14.4 states/eV/cell
* relative energy among the computed polymorphs: 113 meV/atom
* size of the total moment: 0.00 μB/cell
* volume: 28.4 Å³/atom
* DFT formation energy: -0.241 eV/atom
* symmetry: C2/c

***

[6]
The following is a DFT calculation (PBE) of crystalline Ce2ErSb4 at its relaxed geometry.

Structure (POSCAR):
```
Ce2ErSb4
1.0
4.334 0.000 0.000
0.000 4.334 0.000
0.000 0.000 11.618
Ce Er Sb
2 1 4
Cartesian
0.000 2.167 2.483 Ce
2.167 0.000 9.135 Ce
0.000 0.000 5.809 Er
0.000 0.000 0.000 Sb
0.000 2.167 7.926 Sb
2.167 0.000 3.692 Sb
2.167 2.167 0.000 Sb
```

Summary:
* density of states at the Fermi level: 14.8 states/eV/cell
* size of the total moment: 2.30 μB/cell
* volume: 31.2 Å³/atom
* E_form (uncorrected): -17.86 kcal/mol of atoms
* symmetry: P-4m2